Run 1
Compound: MgZrSeN2
Source: Alexandria via LeMat-Bulk
Functional: PBE
Structure: optimized geometry

Properties
Calculated density = 3.8 g/cm3
Magnetic moment = 0.3 μB/cell

Cell and atoms, written as CIF:
```
data_MgZrSeN2
_cell_length_a 4.1146
_cell_length_b 4.1146
_cell_length_c 5.6959
_cell_angle_alpha 90.00
_cell_angle_beta 90.00
_cell_angle_gamma 90.00
_symmetry_space_group_name_H-M 'P 4/m m m'
_symmetry_Int_Tables_number 123
_symmetry_space_group_name_Hall '-P 4 2'
loop_
_atom_site_label
_atom_site_type_symbol
_atom_site_fract_x
_atom_site_fract_y
_atom_site_fract_z
Mg1 Mg 0.0000 0.0000 0.0000
Zr1 Zr 0.5000 0.5000 0.5000
Se1 Se 0.5000 0.5000 0.0000
N1 N 0.0000 0.5000 0.5000
```


Run 2
Compound: MgZrSeN2
Source: Alexandria via LeMat-Bulk
Functional: PBE
Structure: optimized geometry

Properties
Calculated density = 4.8 g/cm3
Magnetic moment = 0.3 μB/cell

Cell and atoms, written as CIF:
```
data_MgZrSeN2
_cell_length_a 3.9386
_cell_length_b 3.9386
_cell_length_c 4.9675
_cell_angle_alpha 90.00
_cell_angle_beta 90.00
_cell_angle_gamma 90.00
_symmetry_space_group_name_H-M 'P 4/m m m'
_symmetry_Int_Tables_number 123
_symmetry_space_group_name_Hall '-P 4 2'
loop_
_atom_site_label
_atom_site_type_symbol
_atom_site_fract_x
_atom_site_fract_y
_atom_site_fract_z
Mg1 Mg 0.0000 0.0000 0.0000
Zr1 Zr 0.5000 0.5000 0.5000
Se1 Se 0.0000 0.0000 0.5000
N1 N 0.0000 0.5000 0.0000
```


Energetically preferred structure: run 1 | next structure: +0.665 eV/atom